Record 1
First-principles (PBEsol) data for an optimized crystal structure of BeAl2Tc, as listed in Alexandria via LeMat-Bulk.

Computed properties:
The total DFT energy (no corrections) comes out at -5.872 eV per atom. The formation energy comes out at -0.010 eV per atom.

a b c (Å): 8.7158 2.6494 4.6307
angles (deg): 90.00 98.54 90.00
Closest atoms and distances in Å follow each position.
Space group C2/m (No. 12)
One atom of each set of equivalent atoms:
Be 0.0000 0.0000 0.0000 (multiplicity 2)  6 Al 2.60-2.67, 2 Be 2.65, 4 Tc 2.67
Al 0.2482 0.0000 0.7516 (multiplicity 4)  3 Be 2.60-2.67, 3 Tc 2.63-2.65, 6 Al 2.65-2.68
Tc 0.0000 0.5000 0.5000 (multiplicity 2)  6 Al 2.63-2.65, 2 Tc 2.65, 4 Be 2.67



Record 2
First-principles (PBEsol) data for an optimized crystal structure of Li2SbPb, as listed in Alexandria via LeMat-Bulk.

Computed properties:
For the uncorrected formation energy, the calculation gives -0.3140 eV per atom. The total DFT energy (no corrections) comes out at -3.436 eV per atom. The offset from the most stable computed form comes out at 0.0741 eV/atom.

a b c (Å): 9.2215 3.2475 6.0152
angles (deg): 90.00 100.74 90.00
Closest atoms and distances in Å follow each position.
Space group C2/m (No. 12)
One atom of each set of equivalent atoms:
Li 0.2462 0.0000 0.2294 (multiplicity 4)  3 Sb 2.92-2.93, 3 Pb 3.03-3.06, 4 Li 3.21-3.25
Sb 0.0000 0.5000 0.0000 (multiplicity 2)  6 Li 2.92-2.93, 2 Sb 3.25
Pb 0.0000 0.0000 0.5000 (multiplicity 2)  6 Li 3.03-3.06, 2 Pb 3.25



Record 3
First-principles (PBEsol) data for an optimized crystal structure of Hf2H2Pd, as listed in Alexandria via LeMat-Bulk.

Computed properties:
The total DFT energy (no corrections) comes out at -7.297 eV per atom.

a b c (Å): 3.1402 3.1402 12.2424
angles (deg): 90.00 90.00 90.00
Closest atoms and distances in Å follow each position.
Space group I4/mmm (No. 139)
One atom of each set of equivalent atoms:
Hf 0.0000 0.0000 0.1424 (multiplicity 4)  4 H 2.05
H 0.0000 0.5000 0.2500 (multiplicity 4)  4 Hf 2.05, 4 H 2.22
Pd 0.0000 0.0000 0.5000 (multiplicity 2)  8 Hf 2.82, 4 Pd 3.14



Record 4
First-principles (PBEsol) data for an optimized crystal structure of K2ReMo, as listed in Alexandria via LeMat-Bulk.

Computed properties:
The total DFT energy (no corrections) comes out at -5.374 eV per atom. The offset from the most stable computed form comes out at 0.0000 eV/atom. The formation energy comes out at 1.468 eV per atom.

a b c (Å): 2.7675 2.7675 36.3974
angles (deg): 90.00 90.00 120.00
Closest atoms and distances in Å follow each position.
Space group R-3m (No. 166, hexagonal axes)
One atom of each set of equivalent atoms:
K 0.0000 0.0000 0.2473 (multiplicity 6)  6 K 2.77
Re 0.0000 0.0000 0.5000 (multiplicity 3)  6 Re 2.77
Mo 0.0000 0.0000 0.0000 (multiplicity 3)  6 Mo 2.77



Record 5
First-principles (PBEsol) data for an optimized crystal structure of Te3C2, as listed in Alexandria via LeMat-Bulk.

Computed properties:
For the uncorrected formation energy, the calculation gives 1.2243 eV per atom. The total DFT energy (no corrections) comes out at -4.749 eV per atom.

a b c (Å): 10.4412 12.3747 6.1305
angles (deg): 90.00 90.00 90.00
Closest atoms and distances in Å follow each position.
Space group Fdd2 (No. 43)
One atom of each set of equivalent atoms:
Te 0.0000 0.0000 0.0000 (multiplicity 8)  4 C 2.28-2.44
Te 0.0857 0.2784 0.7785 (multiplicity 16)  2 C 2.16-2.19
C 0.0807 0.1139 0.2570 (multiplicity 16)  3 Te 2.16-2.28



Record 6
First-principles (PBEsol) data for an optimized crystal structure of SnS2, as listed in Alexandria via LeMat-Bulk.

Computed properties:
For the uncorrected formation energy, the calculation gives -0.4127 eV per atom. The total DFT energy (no corrections) comes out at -4.755 eV per atom.

a b c (Å): 3.6508 3.6508 11.8050
angles (deg): 90.00 90.00 120.00
Closest atoms and distances in Å follow each position.
Space group P6_3mc (No. 186)
One atom of each set of equivalent atoms:
Sn 0.3333 0.6667 0.0000 (multiplicity 2)  6 S 2.57
S 0.0000 0.0000 0.1248 (multiplicity 2)  3 Sn 2.57
S 0.3333 0.6667 0.3754 (multiplicity 2)  3 Sn 2.57



Record 7
First-principles (PBEsol) data for an optimized crystal structure of Sn2Pb2O7, as listed in Alexandria via LeMat-Bulk.

Computed properties:
For the uncorrected formation energy, the calculation gives -1.3151 eV per atom. The total DFT energy (no corrections) comes out at -6.157 eV per atom.

a b c (Å): 10.6007 10.6007 10.6007
angles (deg): 90.00 90.00 90.00
Closest atoms and distances in Å follow each position.
Space group Fd-3m (No. 227, origin choice 2)
One atom of each set of equivalent atoms:
Sn 0.0000 0.0000 0.0000 (multiplicity 16)  6 O 2.07
Pb 0.0000 0.0000 0.5000 (multiplicity 16)  2 O 2.30
O 0.0830 0.3750 0.3750 (multiplicity 48)  2 Sn 2.07
O 0.1250 0.1250 0.6250 (multiplicity 8)  4 Pb 2.30



Record 8
First-principles (PBEsol) data for an optimized crystal structure of BaYBr5, as listed in Alexandria via LeMat-Bulk.

Computed properties:
For the uncorrected formation energy, the calculation gives -1.9379 eV per atom. The total DFT energy (no corrections) comes out at -4.555 eV per atom.

a b c (Å): 12.8755 9.0558 10.8430
angles (deg): 90.00 115.28 90.00
Closest atoms and distances in Å follow each position.
Space group C2/c (No. 15)
One atom of each set of equivalent atoms:
Ba 0.0000 0.0591 0.2500 (multiplicity 4)  7 Br 3.14-3.35
Y 0.0000 0.5000 0.0000 (multiplicity 4)  6 Br 2.71-2.80
Br 0.0000 0.4232 0.2500 (multiplicity 4)  2 Y 2.80
Br 0.0157 0.1971 0.9717 (multiplicity 8)  1 Y 2.78
Br 0.2322 0.4801 0.6220 (multiplicity 8)  1 Y 2.71



Record 9
First-principles (PBEsol) data for an optimized crystal structure of RbTlF2, as listed in Alexandria via LeMat-Bulk.

Computed properties:
For the uncorrected formation energy, the calculation gives -2.0627 eV per atom. The total DFT energy (no corrections) comes out at -3.940 eV per atom. The offset from the most stable computed form comes out at 0.0314 eV/atom.

a b c (Å): 6.7174 6.7174 6.7174
angles (deg): 90.00 90.00 90.00
Closest atoms and distances in Å follow each position.
Space group Fm-3m (No. 225)
One atom of each set of equivalent atoms:
Rb 0.0000 0.0000 0.0000 (multiplicity 4)  8 F 2.91
Tl 0.0000 0.0000 0.5000 (multiplicity 4)  8 F 2.91
F 0.2500 0.2500 0.2500 (multiplicity 8)  4 Tl 2.91, 4 Rb 2.91



Record 10
First-principles (PBEsol) data for an optimized crystal structure of LiLaBe2Cu, as listed in Alexandria via LeMat-Bulk.

Computed properties:
The total DFT energy (no corrections) comes out at -3.411 eV per atom. The formation energy comes out at 0.518 eV per atom.

a b c (Å): 4.3661 4.3661 5.0898
angles (deg): 90.00 90.00 90.00
Closest atoms and distances in Å follow each position.
Space group P4/mmm (No. 123)
One atom of each set of equivalent atoms:
Li 0.0000 0.0000 0.0000 (multiplicity 1)  4 La 3.09, 8 Be 3.35
La 0.5000 0.5000 0.0000 (multiplicity 1)  2 Cu 2.54
Be 0.0000 0.5000 0.5000 (multiplicity 2)  2 Cu 2.18
Cu 0.5000 0.5000 0.5000 (multiplicity 1)  4 Be 2.18



Record 11
First-principles (PBEsol) data for an optimized crystal structure of TlRu3Br, as listed in Alexandria via LeMat-Bulk.

Computed properties:
For the uncorrected formation energy, the calculation gives 1.4720 eV per atom. The total DFT energy (no corrections) comes out at -5.531 eV per atom.

a b c (Å): 4.5140 4.5140 4.5140
angles (deg): 90.00 90.00 90.00
Closest atoms and distances in Å follow each position.
Space group Pm-3m (No. 221)
One atom of each set of equivalent atoms:
Tl 0.0000 0.0000 0.0000 (multiplicity 1)  12 Ru 3.19
Ru 0.0000 0.5000 0.5000 (multiplicity 3)  2 Br 2.26
Br 0.5000 0.5000 0.5000 (multiplicity 1)  6 Ru 2.26



- Which of these has the highest total DFT energy (no corrections)?
  LiLaBe2Cu



- The highest total DFT energy (no corrections) belongs to which entry?
  LiLaBe2Cu



Repeat the eighth record exactly.
First-principles (PBEsol) data for an optimized crystal structure of BaYBr5, as listed in Alexandria via LeMat-Bulk.

Computed properties:
For the uncorrected formation energy, the calculation gives -1.9379 eV per atom. The total DFT energy (no corrections) comes out at -4.555 eV per atom.

a b c (Å): 12.8755 9.0558 10.8430
angles (deg): 90.00 115.28 90.00
Closest atoms and distances in Å follow each position.
Space group C2/c (No. 15)
One atom of each set of equivalent atoms:
Ba 0.0000 0.0591 0.2500 (multiplicity 4)  7 Br 3.14-3.35
Y 0.0000 0.5000 0.0000 (multiplicity 4)  6 Br 2.71-2.80
Br 0.0000 0.4232 0.2500 (multiplicity 4)  2 Y 2.80
Br 0.0157 0.1971 0.9717 (multiplicity 8)  1 Y 2.78
Br 0.2322 0.4801 0.6220 (multiplicity 8)  1 Y 2.71



- The highest total DFT energy (no corrections) belongs to which entry?
  LiLaBe2Cu